A relaxed structure of ZnInB, computed with PBE.

Summary:
total magnetic moment: 0.00 μB/cell
V: 97.5 Å³ per cell
crystal system: tetragonal
symmetry: P4/nmm
total energy: -2.788 eV per atom
mass density: 6.5 g/cm3

Unit cell a=4.0782 b=4.0782 c=5.8630 alpha=90.00 beta=90.00 gamma=90.00
Closest atoms and distances in Å follow each position.
Element x y z (fractional)
B: 0.5000 0.5000 0.5000  4 Zn 2.32
B: 0.0000 0.0000 0.5000  4 Zn 2.32
In: 0.0000 0.5000 0.1759  4 B 2.79, 6 Zn 2.86-3.00
In: 0.5000 0.0000 0.8241  4 B 2.79, 6 Zn 2.86-3.00
Zn: 0.0000 0.5000 0.6877  4 B 2.32
Zn: 0.5000 0.0000 0.3123  4 B 2.32

=====

A relaxed structure of LaZr2W, computed with PBE.

Summary:
total magnetic moment: 0.00 μB/cell
V: 95.5 Å³ per cell
crystal system: trigonal
symmetry: R-3m
energy above the most stable polymorph in this dataset: 0.70 eV/f.u.
mass density: 8.8 g/cm3

Unit cell a=10.0006 b=10.0006 c=10.0006 alpha=19.30 beta=19.30 gamma=19.30
Closest atoms and distances in Å follow each position.
Element x y z (fractional)
Zr: 0.0150 0.0150 0.0150  3 W 2.79
Zr: 0.4850 0.4850 0.4850  3 W 2.79
La: 0.2500 0.2500 0.2500  6 La 3.35, 6 Zr 3.48
W: 0.7500 0.7500 0.7500  6 Zr 2.79

=====

A relaxed structure of Ti3SbPd3, computed with PBE.

Summary:
total magnetic moment: 5.69 μB/cell
formation energy (no corrections): -2.528 eV/f.u.
V: 492.0 Å³ per cell
crystal system: cubic
symmetry: P2_13
mass density: 7.9 g/cm3

Unit cell a=7.8945 b=7.8945 c=7.8945 alpha=90.00 beta=90.00 gamma=90.00
Closest atoms and distances in Å follow each position.
Element x y z (fractional)
Ti: 0.6604 0.3396 0.8396  6 Pd 2.64-2.66, 1 Ti 2.73, 1 Sb 2.95
Ti: 0.2821 0.2179 0.7821  6 Pd 2.64-2.91
Ti: 0.2179 0.7821 0.2821  6 Pd 2.64-2.91
Ti: 0.0395 0.4605 0.5395  1 Ti 2.73, 3 Pd 2.74, 3 Sb 3.03
Ti: 0.3396 0.8396 0.6604  6 Pd 2.64-2.66, 1 Ti 2.73, 1 Sb 2.95
Ti: 0.9605 0.9605 0.9605  1 Ti 2.73, 3 Pd 2.74, 3 Sb 3.03
Ti: 0.1604 0.1604 0.1604  6 Pd 2.64-2.66, 1 Ti 2.73, 1 Sb 2.95
Ti: 0.5395 0.0395 0.4605  1 Ti 2.73, 3 Pd 2.74, 3 Sb 3.03
Ti: 0.8396 0.6604 0.3396  6 Pd 2.64-2.66, 1 Ti 2.73, 1 Sb 2.95
Ti: 0.4605 0.5395 0.0395  1 Ti 2.73, 3 Pd 2.74, 3 Sb 3.03
Ti: 0.7821 0.2821 0.2179  6 Pd 2.64-2.91
Ti: 0.7179 0.7179 0.7179  6 Pd 2.64-2.91
Sb: 0.6240 0.8760 0.1240  6 Pd 2.78-2.80, 4 Ti 2.95-3.03
Sb: 0.1240 0.6240 0.8760  6 Pd 2.78-2.80, 4 Ti 2.95-3.03
Sb: 0.3760 0.3760 0.3760  6 Pd 2.78-2.80, 4 Ti 2.95-3.03
Sb: 0.8760 0.1240 0.6240  6 Pd 2.78-2.80, 4 Ti 2.95-3.03
Pd: 0.1972 0.0896 0.4852  5 Ti 2.64-2.91, 2 Sb 2.78-2.80, 2 Pd 2.81
Pd: 0.9852 0.3028 0.9104  5 Ti 2.64-2.91, 2 Sb 2.78-2.80, 2 Pd 2.81
Pd: 0.5896 0.0148 0.8028  5 Ti 2.64-2.91, 2 Sb 2.78-2.80, 2 Pd 2.81
Pd: 0.4852 0.1972 0.0896  5 Ti 2.64-2.91, 2 Sb 2.78-2.80, 2 Pd 2.81
Pd: 0.0148 0.8028 0.5896  5 Ti 2.64-2.91, 2 Sb 2.78-2.80, 2 Pd 2.81
Pd: 0.3028 0.9104 0.9852  5 Ti 2.64-2.91, 2 Sb 2.78-2.80, 2 Pd 2.81
Pd: 0.5148 0.6972 0.4104  5 Ti 2.64-2.91, 2 Sb 2.78-2.80, 2 Pd 2.81
Pd: 0.0896 0.4852 0.1972  5 Ti 2.64-2.91, 2 Sb 2.78-2.80, 2 Pd 2.81
Pd: 0.4104 0.5148 0.6972  5 Ti 2.64-2.91, 2 Sb 2.78-2.80, 2 Pd 2.81
Pd: 0.6972 0.4104 0.5148  5 Ti 2.64-2.91, 2 Sb 2.78-2.80, 2 Pd 2.81
Pd: 0.8028 0.5896 0.0148  5 Ti 2.64-2.91, 2 Sb 2.78-2.80, 2 Pd 2.81
Pd: 0.9104 0.9852 0.3028  5 Ti 2.64-2.91, 2 Sb 2.78-2.80, 2 Pd 2.81